# 1
Crystalline NbPF3 at its relaxed geometry, computed with PBE-GGA.

Summary:
Calculated volume in Å³ per atom: 15.61
DOS at the Fermi energy in states/eV/cell: 6.24
Energy above the most stable polymorph in this dataset in eV/atom: 0.942

Cell: 4.273 4.273 4.273 Å, 90.00 90.00 90.00°
Space group Pm-3m (No. 221)
Unique sites:
Nb  0.000  0.000  0.000 x1
P  0.500  0.500  0.500 x1
F  0.000  0.500  0.500 x3


# 2
Crystalline SrNbPF2 at its relaxed geometry, computed with PBE-GGA.

Summary:
Calculated volume in Å³ per atom: 32.01
DOS at the Fermi energy in states/eV/cell: 2.78

Cell: 4.254 4.254 8.843 Å, 90.00 90.00 90.00°
Space group P4/mmm (No. 123)
Unique sites:
Sr  0.000  0.000  0.000 x1
Nb  0.000  0.000  0.500 x1
P  0.500  0.500  0.500 x1
F  0.000  0.500  0.000 x2


# 3
Crystalline TiNbPF2 at its relaxed geometry, computed with PBE-GGA.

Summary:
Calculated volume in Å³ per atom: 17.28
DOS at the Fermi energy in states/eV/cell: 2.86

Cell: 3.923 3.923 5.614 Å, 90.00 90.00 90.00°
Space group P4/mmm (No. 123)
Unique sites:
Ti  0.000  0.000  0.000 x1
Nb  0.000  0.000  0.500 x1
P  0.500  0.500  0.000 x1
F  0.000  0.500  0.500 x2


| no. | E (eV per cell) | theoretical density (Mg/m³) | ΔE_f (raw) (meV per atom) |
| --- | --- | --- | --- |
| 1 | -22.38 | 3.848 | -258 |
| 2 | -26.58 | 2.589 | -1135 |
| 3 | -32.75 | 4.032 | -1126 |